Entry 1:
DFT (PBE) results for crystalline NaYNi2H at its relaxed geometry.

a = 4.1448 Å, b = 4.1448 Å, c = 4.1284 Å
α = 90.00°, β = 90.00°, γ = 90.00°
Space group P4/mmm (No. 123)
One atom of each set of equivalent atoms:
Na (0.0000, 0.0000, 0.0000) x1
Y (0.5000, 0.5000, 0.0000) x1
Ni (0.0000, 0.5000, 0.5000) x2
H (0.0000, 0.0000, 0.5000) x1

Summary:
- DFT total energy (eV per atom) = -4.335
- density of states at the Fermi level (states/eV/atom) = 0.611
- crystal system = tetragonal

=====

Entry 2:
DFT (PBE) results for crystalline BaAuI at its relaxed geometry.

a = 4.9750 Å, b = 4.9782 Å, c = 12.2299 Å
α = 78.46°, β = 78.37°, γ = 60.08°
Space group P-1 (No. 2)
One atom of each set of equivalent atoms:
Ba (0.0592, 0.0581, 0.3224) x2
Au (0.3357, 0.3355, 0.4927) x2
I (0.2202, 0.2230, 0.8396) x2

Summary:
- raw formation energy (eV per atom) = -1.20
- density of states at the Fermi level (states/eV/atom) = 0.226
- crystal system = triclinic

=====

Entry 3:
DFT (PBE) results for crystalline CsTbAgS2 at its relaxed geometry.

a = 8.0030 Å, b = 5.1400 Å, c = 7.8259 Å
α = 90.00°, β = 98.64°, γ = 90.00°
Space group P2/c (No. 13)
One atom of each set of equivalent atoms:
Cs (0.0000, 0.1363, 0.2500) x2
Tb (0.5000, 0.4947, 0.7500) x2
Ag (0.5000, 0.0000, 0.0000) x2
S (0.2792, 0.3741, 0.9672) x4

Summary:
- raw formation energy (eV per atom) = -1.12
- density of states at the Fermi level (states/eV/atom) = 0.183
- crystal system = monoclinic

=====

Entry 4:
DFT (PBE) results for crystalline Mn2OsCl at its relaxed geometry.

a = 2.9143 Å, b = 2.9143 Å, c = 7.2088 Å
α = 90.00°, β = 90.00°, γ = 90.00°
Space group P4mm (No. 99)
One atom of each set of equivalent atoms:
Mn (0.0000, 0.0000, 0.0000) x1
Mn (0.5000, 0.5000, 0.2421) x1
Os (0.0000, 0.0000, 0.4217) x1
Cl (0.5000, 0.5000, 0.7685) x1

Summary:
- raw formation energy (eV per atom) = 0.37
- density of states at the Fermi level (states/eV/atom) = 0.533
- crystal system = tetragonal